A relaxed structure of TaB4. Source: Alexandria via LeMat-Bulk, functional PBE.

POSCAR file:
```
TaB4
1.0
2.668 -4.622 0.000
2.668 4.622 0.000
0.000 0.000 6.733
Ta B
4 16
Cartesian
2.668 1.541 1.683
2.668 -1.541 5.050
0.000 0.000 1.683
0.000 0.000 5.050
1.799 0.000 3.367
1.769 -3.064 3.367
1.769 3.064 3.367
3.538 0.000 3.367
0.899 1.558 3.367
0.899 -1.558 3.367
3.538 0.000 0.000
0.899 -1.558 0.000
0.899 1.558 0.000
1.799 0.000 0.000
1.769 3.064 0.000
1.769 -3.064 0.000
2.668 1.541 5.897
2.668 -1.541 0.836
2.668 -1.541 2.531
2.668 1.541 4.203
```

Summary:
Mass density   8.967 g cm⁻³
DFT total energy   -7.64 eV per atom
N(E_F)   6.02 states/eV per cell
DFT formation energy   0.070 eV/atom
V   8.30 Å³/atom


A relaxed structure of La3Pm3Pr8. Source: Alexandria via LeMat-Bulk, functional PBE.

POSCAR file:
```
La3Pm3Pr8
1.0
5.638 0.000 1.535
2.912 9.627 0.425
0.410 -2.963 9.612
La Pm Pr
3 3 8
Cartesian
4.480 3.332 5.786
5.192 1.283 3.172
3.768 5.381 8.400
2.819 0.000 0.768
2.451 7.308 2.117
0.871 -0.644 7.920
4.290 -0.535 6.484
4.670 7.199 5.088
5.406 5.081 2.385
3.554 1.583 9.187
7.179 5.726 6.992
1.781 0.938 4.580
6.661 3.117 8.896
2.299 3.547 2.676
```

Summary:
Mass density   6.450 g cm⁻³
DFT total energy   -4.70 eV per atom
N(E_F)   19.74 states/eV per cell
DFT formation energy   0.101 eV/atom
V   36.39 Å³/atom


A relaxed structure of Y2MnBe3Ni12. Source: Alexandria via LeMat-Bulk, functional PBE.

POSCAR file:
```
Y2MnBe3Ni12
1.0
-1.793 -2.561 -5.314
2.210 -5.600 1.330
-5.329 -2.167 2.219
Y Mn Be Ni
2 1 3 12
Cartesian
-3.427 -7.206 -1.231
-1.485 -3.123 -0.534
0.000 0.000 0.000
-0.897 -1.281 -2.657
1.105 -2.800 0.665
-2.664 -1.084 1.109
-4.488 -5.159 0.344
-1.237 -7.275 -2.583
-3.066 -7.071 1.314
-2.814 -5.345 -3.221
-5.136 -5.499 -2.123
-0.920 -6.784 -0.077
-0.425 -5.170 -2.109
-3.676 -3.054 0.818
-1.847 -3.258 -3.079
-2.098 -4.984 1.456
0.224 -4.830 0.358
-3.993 -3.545 -1.688
```

Summary:
Mass density   6.904 g cm⁻³
DFT total energy   -5.67 eV per atom
N(E_F)   18.75 states/eV per cell
DFT formation energy   0.030 eV/atom
V   12.88 Å³/atom


A relaxed structure of Mn2InSe. Source: Alexandria via LeMat-Bulk, functional PBE.

POSCAR file:
```
Mn2InSe
1.0
3.752 -0.958 2.000
0.195 -0.065 4.354
0.441 -3.791 2.105
Mn Se In
2 1 1
Cartesian
1.097 -1.203 2.115
3.291 -3.610 6.344
0.000 0.000 0.000
2.194 -2.407 4.229
```

Summary:
Mass density   8.613 g cm⁻³
Formation energy from raw total energies   638 meV per atom
DFT total energy   -5.50 eV per atom
N(E_F)   6.15 states/eV per cell
V   14.63 Å³/atom


A relaxed structure of NaAc2Au3. Source: Alexandria via LeMat-Bulk, functional PBE.

POSCAR file:
```
NaAc2Au3
1.0
0.264 3.219 -5.416
-5.181 -3.496 -0.839
-2.255 6.300 6.560
Na Ac Au
2 4 6
Cartesian
-4.031 1.918 -1.982
-3.141 4.106 2.288
-4.947 1.333 1.297
-3.715 -0.209 -4.726
-2.225 4.691 -0.991
-1.202 -0.068 -1.529
-4.589 -0.748 -1.425
-5.255 3.475 3.978
-2.583 6.771 1.731
-1.917 2.548 -3.672
-1.590 2.078 1.158
-5.583 3.946 -0.852
```

Summary:
Mass density   10.736 g cm⁻³
DFT total energy   -3.80 eV per atom
N(E_F)   7.52 states/eV per cell
DFT formation energy   -0.576 eV/atom
V   27.53 Å³/atom


A relaxed structure of GeRh. Source: Alexandria via LeMat-Bulk, functional PBE.

POSCAR file:
```
GeRh
1.0
4.244 0.000 0.000
-2.122 3.676 0.000
0.000 0.000 4.931
Ge Rh
2 2
Cartesian
0.000 2.450 1.233
2.122 1.225 3.698
0.000 2.450 3.698
2.122 1.225 1.233
```

Summary:
Mass density   7.579 g cm⁻³
DFT total energy   -6.13 eV per atom
N(E_F)   2.08 states/eV per cell
DFT formation energy   -0.145 eV/atom
V   19.23 Å³/atom


A relaxed structure of Dy8Tm3In2. Source: Alexandria via LeMat-Bulk, functional PBE.

POSCAR file:
```
Dy8Tm3In2
1.0
5.443 0.000 0.796
0.000 8.175 0.000
-1.322 -4.087 9.035
Dy Tm In
8 3 2
Cartesian
4.974 4.087 3.990
-0.853 0.000 5.842
-0.340 0.000 2.326
4.461 4.088 7.506
1.707 1.684 7.337
1.707 -1.684 7.336
2.414 5.772 2.495
2.414 2.403 2.495
2.721 0.000 0.398
0.000 2.427 0.000
-1.322 1.661 9.035
2.110 0.000 4.587
2.011 4.088 5.245
```

Summary:
Mass density   8.236 g cm⁻³
DFT total energy   -4.26 eV per atom
N(E_F)   13.74 states/eV per cell
DFT formation energy   0.027 eV/atom
V   31.58 Å³/atom


A relaxed structure of PdC. Source: Alexandria via LeMat-Bulk, functional PBE.

POSCAR file:
```
PdC
1.0
-4.590 0.012 -6.940
1.346 -8.161 -0.904
-3.165 -0.754 2.092
Pd C
8 8
Cartesian
-4.693 -3.554 -4.805
-1.716 -5.349 -0.947
-3.314 -6.835 -3.900
-3.095 -2.068 -1.852
-3.110 -5.173 -6.569
-0.134 -2.976 -1.274
-0.512 -7.046 -3.313
-2.732 -1.103 -4.531
-4.407 -5.838 -5.195
-2.002 -3.065 -0.557
-2.003 -7.000 -1.976
-4.406 -1.903 -3.776
-3.548 -3.159 -6.506
0.304 -4.990 -1.337
-1.614 -7.231 -5.046
-1.630 -0.918 -2.797
```

Summary:
Mass density   5.875 g cm⁻³
DFT total energy   -5.77 eV per atom
N(E_F)   6.91 states/eV per cell
DFT formation energy   1.439 eV/atom
V   16.74 Å³/atom


A relaxed structure of Zr2TlS. Source: Alexandria via LeMat-Bulk, functional PBE.

POSCAR file:
```
Zr2TlS
1.0
-0.310 3.592 0.116
-3.062 1.510 1.167
1.587 1.705 7.534
Zr Tl S
2 1 1
Cartesian
1.078 1.704 6.200
-0.619 1.701 1.751
-0.887 3.404 4.424
-0.663 5.106 8.385
```

Summary:
Mass density   8.114 g cm⁻³
Formation energy from raw total energies   -809 meV per atom
DFT total energy   -6.71 eV per atom
N(E_F)   1.76 states/eV per cell
V   21.43 Å³/atom


A relaxed structure of Cr2PtCl. Source: Alexandria via LeMat-Bulk, functional PBE.

POSCAR file:
```
Cr2PtCl
1.0
0.000 3.021 3.021
3.021 0.000 3.021
3.021 3.021 0.000
Cr Pt Cl
2 1 1
Cartesian
1.510 1.510 1.510
4.531 4.531 4.531
3.021 3.021 3.021
0.000 0.000 0.000
```

Summary:
Mass density   10.078 g cm⁻³
Formation energy from raw total energies   620 meV per atom
DFT total energy   -6.16 eV per atom
N(E_F)   6.42 states/eV per cell
V   13.78 Å³/atom


A relaxed structure of KH2. Source: Alexandria via LeMat-Bulk, functional PBE.

POSCAR file:
```
KH2
1.0
-1.359 3.092 1.907
-3.185 -0.109 -2.094
-0.145 -7.904 4.103
K H
2 4
Cartesian
-1.353 -4.747 4.041
-3.336 -0.175 -0.124
-2.294 -6.410 2.087
-2.395 1.488 1.829
-3.071 -1.286 3.002
-1.618 -3.636 0.914
```

Summary:
Mass density   1.215 g cm⁻³
DFT total energy   -2.72 eV per atom
N(E_F)   0.00 states/eV per cell
V   18.73 Å³/atom


A relaxed structure of NbSbMoI2. Source: Alexandria via LeMat-Bulk, functional PBE.

POSCAR file:
```
NbSbMoI2
1.0
5.517 0.000 0.000
0.000 5.517 0.000
0.000 0.000 5.516
I Sb Mo Nb
2 1 1 1
Cartesian
0.000 2.759 0.000
2.759 0.000 0.000
0.000 0.000 2.758
2.759 2.759 2.758
0.000 0.000 0.000
```

Summary:
Mass density   5.582 g cm⁻³
Formation energy from raw total energies   1097 meV per atom
DFT total energy   -4.53 eV per atom
N(E_F)   3.01 states/eV per cell
V   33.58 Å³/atom


A relaxed structure of LaPrPbI. Source: Alexandria via LeMat-Bulk, functional PBE.

POSCAR file:
```
LaPrPbI
1.0
4.719 0.000 0.000
2.360 4.087 0.000
2.360 1.362 7.376
La Pr Pb I
1 1 1 1
Cartesian
7.079 4.087 1.088
4.719 2.725 5.078
7.079 4.087 6.749
2.360 1.362 3.097
```

Summary:
Mass density   7.165 g cm⁻³
Formation energy from raw total energies   -830 meV per atom
DFT total energy   -4.57 eV per atom
N(E_F)   2.29 states/eV per cell
V   35.57 Å³/atom


A relaxed structure of Nd3InF. Source: Alexandria via LeMat-Bulk, functional PBE.

POSCAR file:
```
Nd3InF
1.0
5.047 0.000 0.000
0.000 5.047 0.000
0.000 0.000 5.047
F Nd In
1 3 1
Cartesian
0.000 0.000 0.000
0.000 2.524 0.000
0.000 0.000 2.524
2.524 0.000 0.000
2.524 2.524 2.524
```

Summary:
Mass density   7.317 g cm⁻³
Formation energy from raw total energies   -1134 meV per atom
DFT total energy   -4.92 eV per atom
N(E_F)   4.13 states/eV per cell
V   25.71 Å³/atom


A relaxed structure of La2Hg. Source: Alexandria via LeMat-Bulk, functional PBE.

POSCAR file:
```
La2Hg
1.0
10.379 0.000 0.000
5.189 8.988 0.000
5.189 2.996 8.474
Hg La
8 16
Cartesian
15.568 9.784 6.074
8.473 4.096 6.074
10.379 2.996 2.963
12.284 4.096 6.074
5.189 2.200 2.400
12.284 7.888 2.400
10.379 8.988 5.511
8.473 7.888 2.400
7.784 1.498 4.237
5.189 0.000 0.000
2.595 1.498 4.237
10.379 5.992 4.237
12.314 10.105 7.953
15.568 8.227 2.639
18.822 10.105 7.953
7.125 4.875 2.639
10.379 6.753 7.953
13.632 4.875 2.639
8.443 1.879 0.521
5.189 3.757 5.835
1.935 1.879 0.521
13.632 7.109 5.835
10.379 5.231 0.521
7.125 7.109 5.835
```

Summary:
Mass density   8.040 g cm⁻³
DFT total energy   -3.68 eV per atom
N(E_F)   36.85 states/eV per cell
DFT formation energy   -0.291 eV/atom
V   32.94 Å³/atom


A relaxed structure of Cu2Pd3Au8. Source: Alexandria via LeMat-Bulk, functional PBE.

POSCAR file:
```
Cu2Pd3Au8
1.0
4.115 0.000 0.000
0.000 5.302 -3.725
0.000 1.009 9.437
Cu Pd Au
2 3 8
Cartesian
2.058 1.061 3.569
2.058 5.250 2.144
2.058 0.000 0.000
0.000 1.953 -0.592
0.000 4.358 6.304
0.000 4.443 0.696
4.115 1.868 5.017
4.115 0.651 1.894
0.000 5.660 3.818
2.058 3.713 4.294
2.058 2.391 6.957
2.058 3.920 -1.245
2.058 2.598 1.418
```

Summary:
Mass density   15.167 g cm⁻³
DFT total energy   -3.88 eV per atom
N(E_F)   4.02 states/eV per cell
DFT formation energy   -0.034 eV/atom
V   17.03 Å³/atom


A relaxed structure of K2CrIn. Source: Alexandria via LeMat-Bulk, functional PBE.

POSCAR file:
```
K2CrIn
1.0
-1.284 -5.563 0.344
3.355 -3.872 -2.543
3.242 -3.493 3.163
Cr In K
1 1 2
Cartesian
2.656 -6.464 0.482
3.984 -9.696 0.723
0.000 0.000 0.000
1.328 -3.232 0.241
```

Summary:
Mass density   3.075 g cm⁻³
DFT total energy   -3.07 eV per atom
N(E_F)   4.05 states/eV per cell
DFT formation energy   0.566 eV/atom
V   33.08 Å³/atom


A relaxed structure of VRuRh. Source: Alexandria via LeMat-Bulk, functional PBE.

POSCAR file:
```
VRuRh
1.0
-1.145 -2.786 2.965
-0.718 -0.840 -4.079
2.413 -1.185 -0.181
Ru Rh V
1 1 1
Cartesian
0.000 0.000 0.000
0.204 -2.730 0.526
0.346 -2.081 -1.822
```

Summary:
Mass density   10.155 g cm⁻³
DFT total energy   -8.75 eV per atom
N(E_F)   2.04 states/eV per cell
DFT formation energy   -0.171 eV/atom
V   13.89 Å³/atom


A relaxed structure of PrGa3AgPt. Source: Alexandria via LeMat-Bulk, functional PBE.

POSCAR file:
```
PrGa3AgPt
1.0
6.231 0.000 0.000
0.000 5.857 0.000
0.000 -2.929 6.714
Pr Ga Ag Pt
2 6 2 2
Cartesian
4.674 0.000 3.995
1.558 2.929 2.719
1.558 0.000 1.755
0.000 1.663 0.000
3.116 4.195 0.000
3.116 1.663 0.000
0.000 4.195 0.000
4.674 2.929 4.959
1.558 0.000 4.540
4.674 2.929 2.175
1.558 2.929 5.567
4.674 0.000 1.148
```

Summary:
Mass density   8.850 g cm⁻³
DFT total energy   -4.19 eV per atom
N(E_F)   2.87 states/eV per cell
DFT formation energy   -0.400 eV/atom
V   20.42 Å³/atom


A relaxed structure of SrAgB2Pt. Source: Alexandria via LeMat-Bulk, functional PBE.

POSCAR file:
```
SrAgB2Pt
1.0
-1.444 0.185 -3.984
4.847 -1.165 -1.811
-0.939 -4.134 0.149
Sr B Ag Pt
1 2 1 1
Cartesian
1.232 -2.558 -2.823
-0.469 -2.067 0.074
-0.722 0.092 -1.992
0.000 0.000 0.000
2.423 -0.583 -0.905
```

Summary:
Mass density   7.171 g cm⁻³
DFT total energy   -3.87 eV per atom
N(E_F)   2.43 states/eV per cell
DFT formation energy   0.921 eV/atom
V   19.09 Å³/atom


no.,M_tot (μB per cell)
1,0.0
2,0.0
3,5.0
4,0.0
5,0.0
6,0.0
7,0.0
8,0.0
9,0.0
10,0.0
11,0.0
12,5.4
13,0.0
14,0.0
15,2.6
16,0.0
17,4.6
18,0.0
19,0.0
20,0.0